! Rb3Na | Alexandria via LeMat-Bulk | PBE | optimized geometry; values from VASP
&SYSTEM
  ibrav = 0, nat = 8, ntyp = 2
/
ATOMIC_SPECIES
Rb 85.47 Rb.upf
Na 22.99 Na.upf
ATOMIC_POSITIONS angstrom
Rb -4.594 2.284 -1.124
Rb -3.437 -1.962 -3.452
Rb -7.492 -1.688 -0.642
Rb -3.164 -1.639 1.418
Rb -7.218 -1.366 4.228
Rb -6.062 -5.612 1.900
Na -3.428 6.284 -0.352
Na -0.645 -3.934 -5.955
CELL_PARAMETERS angstrom
-3.843 7.808 0.483
-0.230 -5.458 -6.791
-6.583 -5.677 7.083
! total magnetic moment	0.00	μB/f.u.
! electronic total energy	-1.004	eV per atom
! calculated formation energy	0.05	eV/atom
! theoretical density	1.446	g/cm³